{
  "formula": "CaLa7Nd12",
  "functional": "PBE-GGA",
  "state": "relaxed",
  "lattice_angstrom": [[-7.5086, -6.2742, -2.6695], [3.4961, 4.7839, -8.2318], [7.5067, -5.3294, 4.2566]],
  "species": ["Nd", "Nd", "La", "La", "Nd", "Ca", "Nd", "Nd", "La", "La", "La", "La", "Nd", "Nd", "Nd", "Nd", "Nd", "Nd", "Nd", "La"],
  "fractional_positions": [[0.4930, 0.7452, 0.7478], [0.0026, 0.2548, 0.7478], [0.5000, 0.0000, 0.0000], [0.0000, 0.5000, 0.5000], [0.9974, 0.7452, 0.2522], [0.0000, 0.0000, 0.0000], [0.5070, 0.2548, 0.2522], [0.2548, 0.7478, 0.0026], [0.5000, 0.0000, 0.5000], [0.0000, 0.5000, 0.0000], [0.5000, 0.5000, 0.5000], [0.5000, 0.5000, 0.0000], [0.2522, 0.5070, 0.2548], [0.7478, 0.0026, 0.2548], [0.7478, 0.4930, 0.7452], [0.2522, 0.9974, 0.7452], [0.7452, 0.2522, 0.9974], [0.2548, 0.2522, 0.5070], [0.7452, 0.7478, 0.4930], [0.0000, 0.0000, 0.5000]],
  "delta_e_f_ev_per_atom": 0.52,
  "sg": "Im-3",
  "vol_a3_per_cell": 803
}

***

{
  "formula": "Ca14LaNd",
  "functional": "PBE-GGA",
  "state": "relaxed",
  "lattice_angstrom": [[-7.0926, 1.0676, -3.0741], [-1.0000, -7.7299, -0.3795], [-4.3022, 0.0681, 9.9498]],
  "species": ["Ca", "Ca", "Ca", "Ca", "Ca", "Nd", "La", "Ca", "Ca", "Ca", "Ca", "Ca", "Ca", "Ca", "Ca", "Ca"],
  "fractional_positions": [[0.6243, 0.3757, 0.2464], [0.3751, 0.6249, 0.5000], [0.6243, 0.3757, 0.7536], [0.1260, 0.3760, 0.2463], [0.8752, 0.6250, 0.5000], [0.3750, 0.6250, 0.0000], [0.8748, 0.1252, 0.0000], [0.1260, 0.3760, 0.7537], [0.8751, 0.1249, 0.5000], [0.1257, 0.8743, 0.7537], [0.8750, 0.6251, 0.0000], [0.1257, 0.8743, 0.2463], [0.3749, 0.1250, 0.0000], [0.6240, 0.8740, 0.2463], [0.6240, 0.8740, 0.7537], [0.3750, 0.1248, 0.5000]],
  "delta_e_f_ev_per_atom": 0.06,
  "sg": "P4/mmm",
  "vol_a3_per_cell": 660
}

***

{
  "formula": "CaLa2Nd4",
  "functional": "PBE-GGA",
  "state": "relaxed",
  "lattice_angstrom": [[-0.1247, 3.5868, 4.4120], [0.0137, -4.4128, 3.5878], [8.8596, 0.5512, -3.8635]],
  "species": ["Nd", "Ca", "Nd", "Nd", "La", "La", "Nd"],
  "fractional_positions": [[0.0000, 0.5000, 0.0000], [0.0000, 0.0000, 0.0000], [0.5000, 0.0000, 0.0000], [0.1847, 0.1847, 0.3695], [0.6176, 0.6176, 0.2353], [0.3824, 0.3824, 0.7647], [0.8153, 0.8153, 0.6305]],
  "delta_e_f_ev_per_atom": 0.66,
  "sg": "I4/mmm",
  "vol_a3_per_cell": 285
}

***

{
  "formula": "CaLaNd2",
  "functional": "PBE-GGA",
  "state": "relaxed",
  "lattice_angstrom": [[3.7331, 0.0000, 0.0000], [0.0000, 3.7331, 0.0000], [0.0000, 0.0000, 10.6272]],
  "species": ["Ca", "Nd", "La", "Nd"],
  "fractional_positions": [[0.5000, 0.5000, 0.5000], [0.0000, 0.0000, 0.7627], [0.5000, 0.5000, 0.0000], [0.0000, 0.0000, 0.2373]],
  "delta_e_f_ev_per_atom": 0.04,
  "sg": "P4/mmm",
  "vol_a3_per_cell": 148
}